[1]
First-principles (PBE-GGA) data for an optimized crystal structure of AcLa3Tl3, as listed in Alexandria via LeMat-Bulk.

## Properties
Total moment, μB/atom: 0.000
Uncorrected energy, eV/atom: -4.00
Crystal system: hexagonal

Cell: 10.0957 10.0957 5.4311 Å, 90.00 90.00 120.00°
Last column: nearest neighbours and their distance in Å.
Space group P6_3/m (No. 176)
One atom of each set of equivalent atoms:
Ac1 0.3333 0.6667 0.2500  9 Tl 3.57-3.70, 3 La 3.95
La1 0.0069 0.2455 0.7500  4 Tl 3.28-3.50, 4 La 3.65
Tl1 0.0630 0.6167 0.7500  4 La 3.28-3.50, 2 Tl 3.40, 1 Ac 3.57

=====

[2]
First-principles (PBE-GGA) data for an optimized crystal structure of Ac2La2Tl7, as listed in Alexandria via LeMat-Bulk.

## Properties
Total moment, μB/atom: 0.000
Uncorrected energy, eV/atom: -3.33
Crystal system: monoclinic

Cell: 12.3283 9.8269 6.3728 Å, 90.00 95.81 90.00°
Last column: nearest neighbours and their distance in Å.
Space group C2/m (No. 12)
One atom of each set of equivalent atoms:
Ac1 0.2205 0.0000 0.1791  9 Tl 3.36-3.76
La1 0.0000 0.3077 0.5000  4 Tl 3.29-3.40
Tl1 0.0000 0.5000 0.0000  4 Tl 3.59, 4 La 3.70, 2 Ac 3.74
Tl2 0.0475 0.0000 0.7371  3 Tl 3.13-3.18, 2 Ac 3.36-3.40, 2 La 3.40
Tl3 0.2307 0.3384 0.2848  3 Tl 3.18-3.24, 1 La 3.29, 2 Ac 3.39-3.46

=====

[3]
First-principles (PBE-GGA) data for an optimized crystal structure of Ac2La8Tl, as listed in Alexandria via LeMat-Bulk.

## Properties
Total moment, μB/atom: 0.000
Uncorrected energy, eV/atom: -4.50
Crystal system: monoclinic

Cell: 11.5078 7.2618 11.1852 Å, 90.00 117.77 90.00°
Last column: nearest neighbours and their distance in Å.
Space group C2/m (No. 12)
One atom of each set of equivalent atoms:
Ac1 0.1911 0.0000 0.0836  10 La 3.64-3.92, 1 Ac 3.90
La1 0.0058 0.2356 0.7516  1 Tl 3.27, 3 La 3.30-3.58, 1 Ac 3.64
La2 0.1796 0.5000 0.5479  5 La 3.58-3.77, 1 Ac 3.67, 1 Tl 3.97
La3 0.1852 0.5000 0.1742  4 La 3.30-3.68
Tl1 0.0000 0.0000 0.5000  4 La 3.27